The following is a PBE calculation of crystalline Hg3S2I2 at its relaxed geometry, from Alexandria via LeMat-Bulk.

Values from the calculation:
- ΔE to the lowest computed polymorph (meV/atom) = 37
- raw formation energy (kJ per mole of atoms) = -16.8
- spin magnetization (μB per formula unit) = 0.00
- total DFT energy (no corrections) (eV per atom) = -1.9254

```
Hg3S2I2
1.0
5.2853 0.0000 0.0000
0.0000 6.9513 -0.0322
-2.6426 -2.2908 6.7517
Hg S I
3 2 2
Direct
0.0000 0.5000 0.0000
0.2726 0.7319 0.5452
0.7274 0.2681 0.4548
0.8546 0.5991 0.7093
0.1454 0.4009 0.2907
0.6167 0.8737 0.2334
0.3833 0.1263 0.7666
```


The following is a PBE calculation of crystalline TiSbO at its relaxed geometry, from Alexandria via LeMat-Bulk.

Values from the calculation:
- ΔE to the lowest computed polymorph (meV/atom) = 5
- raw formation energy (kJ per mole of atoms) = -150.2
- spin magnetization (μB per formula unit) = 0.00
- total DFT energy (no corrections) (eV per atom) = -7.2157

```
TiSbO
1.0
-1.1515 -0.4368 2.9648
2.7210 -1.4499 -0.8950
10.6252 15.9433 6.4752
Ti Sb O
3 3 3
Direct
0.0000 0.0000 0.9129
0.3333 0.6667 0.5796
0.6667 0.3333 0.2462
0.0000 0.0000 0.6908
0.3333 0.6667 0.3574
0.6667 0.3333 0.0241
0.0000 0.0000 0.2098
0.3333 0.6667 0.8765
0.6667 0.3333 0.5431
```


The following is a PBE calculation of crystalline CaPtCl3 at its relaxed geometry, from Alexandria via LeMat-Bulk.

Values from the calculation:
- ΔE to the lowest computed polymorph (meV/atom) = 298
- raw formation energy (kJ per mole of atoms) = -49.8
- spin magnetization (μB per formula unit) = 1.00
- total DFT energy (no corrections) (eV per atom) = -3.2329

```
CaPtCl3
1.0
5.2698 0.0000 0.0000
0.0000 5.2698 0.0000
0.0000 0.0000 5.2698
Ca Pt Cl
1 1 3
Direct
0.0000 0.0000 0.0000
0.5000 0.5000 0.5000
0.0000 0.5000 0.0000
0.0000 0.0000 0.5000
0.5000 0.0000 0.0000
```


The following is a PBE calculation of crystalline CuAg2PSe4 at its relaxed geometry, from Alexandria via LeMat-Bulk.

Values from the calculation:
- raw formation energy (kJ per mole of atoms) = -11.0
- spin magnetization (μB per formula unit) = 0.00
- total DFT energy (no corrections) (eV per atom) = -3.7569

```
CuAg2PSe4
1.0
-0.3311 5.8417 1.2041
-1.3494 -1.2469 5.6829
6.0994 -2.2587 -2.1865
Cu Ag P Se
1 2 1 4
Direct
0.9861 0.4862 0.9721
0.4862 0.9857 0.9715
0.2353 0.2358 0.4717
0.7358 0.7359 0.4718
0.6549 0.6220 0.7170
0.8492 0.4096 0.2262
0.3771 0.8170 0.2263
0.0623 0.0948 0.7176
```


The following is a PBE calculation of crystalline Pr3Sb2S at its relaxed geometry, from Alexandria via LeMat-Bulk.

Values from the calculation:
- ΔE to the lowest computed polymorph (meV/atom) = 0
- raw formation energy (kJ per mole of atoms) = -139.0
- spin magnetization (μB per formula unit) = 0.00
- total DFT energy (no corrections) (eV per atom) = -5.8921

```
Pr3Sb2S
1.0
7.5298 0.0272 -1.3919
-2.8876 6.9542 -1.3919
-0.0112 -0.0168 13.9563
Pr Sb S
12 8 4
Direct
0.1652 0.6765 0.8276
0.6624 0.1511 0.8276
0.0848 0.0735 0.6724
0.5876 0.5989 0.6724
0.0170 0.5170 0.5000
0.4830 0.9830 0.5000
0.4011 0.4124 0.3276
0.9265 0.9152 0.3276
0.8489 0.3376 0.1724
0.3235 0.8348 0.1724
0.2330 0.2330 0.0000
0.7670 0.7670 0.0000
0.9982 0.4982 0.9964
0.4190 0.4190 0.8379
0.8310 0.3310 0.6621
0.2518 0.2518 0.5036
0.7482 0.7482 0.4964
0.6690 0.1690 0.3379
0.5810 0.5810 0.1621
0.5018 0.0018 0.0036
0.9166 0.9166 0.8331
0.3334 0.8334 0.6669
0.1666 0.6666 0.3331
0.0834 0.0834 0.1669
```


The following is a PBE calculation of crystalline Ho2AlHPd6 at its relaxed geometry, from Alexandria via LeMat-Bulk.

Values from the calculation:
- spin magnetization (μB per formula unit) = 0.00
- total DFT energy (no corrections) (eV per atom) = -5.5133

```
Ho2AlHPd6
1.0
5.6883 0.0229 0.0140
-0.0294 6.7222 0.7589
2.8161 3.9279 4.8042
Ho Al H Pd
2 1 1 6
Direct
0.7250 0.2775 0.5499
0.2750 0.7225 0.4501
0.0000 0.0000 0.0000
0.5000 0.5000 0.0000
0.2694 0.2328 0.4612
0.7686 0.7321 0.9607
0.2706 0.7320 0.9608
0.7294 0.2680 0.0392
0.2314 0.2679 0.0393
0.7306 0.7672 0.5388
```


What did the fifth record say?
The following is a PBE calculation of crystalline Pr3Sb2S at its relaxed geometry, from Alexandria via LeMat-Bulk.

Values from the calculation:
- ΔE to the lowest computed polymorph (meV/atom) = 0
- raw formation energy (kJ per mole of atoms) = -139.0
- spin magnetization (μB per formula unit) = 0.00
- total DFT energy (no corrections) (eV per atom) = -5.8921

```
Pr3Sb2S
1.0
7.5298 0.0272 -1.3919
-2.8876 6.9542 -1.3919
-0.0112 -0.0168 13.9563
Pr Sb S
12 8 4
Direct
0.1652 0.6765 0.8276
0.6624 0.1511 0.8276
0.0848 0.0735 0.6724
0.5876 0.5989 0.6724
0.0170 0.5170 0.5000
0.4830 0.9830 0.5000
0.4011 0.4124 0.3276
0.9265 0.9152 0.3276
0.8489 0.3376 0.1724
0.3235 0.8348 0.1724
0.2330 0.2330 0.0000
0.7670 0.7670 0.0000
0.9982 0.4982 0.9964
0.4190 0.4190 0.8379
0.8310 0.3310 0.6621
0.2518 0.2518 0.5036
0.7482 0.7482 0.4964
0.6690 0.1690 0.3379
0.5810 0.5810 0.1621
0.5018 0.0018 0.0036
0.9166 0.9166 0.8331
0.3334 0.8334 0.6669
0.1666 0.6666 0.3331
0.0834 0.0834 0.1669
```


Repeat the second record exactly.
The following is a PBE calculation of crystalline TiSbO at its relaxed geometry, from Alexandria via LeMat-Bulk.

Values from the calculation:
- ΔE to the lowest computed polymorph (meV/atom) = 5
- raw formation energy (kJ per mole of atoms) = -150.2
- spin magnetization (μB per formula unit) = 0.00
- total DFT energy (no corrections) (eV per atom) = -7.2157

```
TiSbO
1.0
-1.1515 -0.4368 2.9648
2.7210 -1.4499 -0.8950
10.6252 15.9433 6.4752
Ti Sb O
3 3 3
Direct
0.0000 0.0000 0.9129
0.3333 0.6667 0.5796
0.6667 0.3333 0.2462
0.0000 0.0000 0.6908
0.3333 0.6667 0.3574
0.6667 0.3333 0.0241
0.0000 0.0000 0.2098
0.3333 0.6667 0.8765
0.6667 0.3333 0.5431
```